1.
First-principles (PBE-GGA) data for Ti2SnS after structural relaxation, as listed in Alexandria.

The energy relative to the elements, uncorrected comes out at -0.832 eV per atom. The value obtained for the density of states at the Fermi level is 0.739 states/eV per atom. The total DFT energy (no corrections) comes out at -0.501 Ry/atom. Its crystal system is trigonal. The polymorph energy (0 for the lowest one) is 0 meV per atom.

The space group is R3m (No. 160, hexagonal axes) and the conventional cell measures 3.4521, 3.4521 and 20.7368 Å, with angles of 90.00, 90.00 and 120.00 degrees. The distinct sites, in fractional coordinates, are Ti at (0.0000, 0.0000, 0.0000), Ti at (0.0000, 0.0000, 0.2077), Sn at (0.0000, 0.0000, 0.4357) and S at (0.0000, 0.0000, 0.6042).



2.
First-principles (PBE-GGA) data for Na2TbUTe4 after structural relaxation, as listed in Alexandria.

The energy relative to the elements, uncorrected comes out at -1.033 eV per atom. The value obtained for the density of states at the Fermi level is 1.098 states/eV per atom. The total DFT energy (no corrections) comes out at -0.362 Ry/atom. Its crystal system is monoclinic.

The space group is P2/m (No. 10) and the conventional cell measures 7.690, 4.438 and 8.008 Å, with angles of 90.00, 108.68 and 90.00 degrees. The distinct sites, in fractional coordinates, are Na at (0.000, 0.000, 0.000), Na at (0.500, 0.500, 0.000), Tb at (0.000, 0.500, 0.500), U at (0.500, 0.000, 0.500), Te at (0.243, 0.000, 0.735) and Te at (0.253, 0.500, 0.264).



3.
First-principles (PBE-GGA) data for RbAl2Cl after structural relaxation, as listed in Alexandria.

The energy relative to the elements, uncorrected comes out at 0.436 eV per atom. The value obtained for the density of states at the Fermi level is 1.094 states/eV per atom. The total DFT energy (no corrections) comes out at -0.157 Ry/atom. Its crystal system is cubic. The polymorph energy (0 for the lowest one) is 638 meV per atom.

The space group is Fm-3m (No. 225) and the conventional cell measures 7.992, 7.992 and 7.992 Å, with angles of 90.00, 90.00 and 90.00 degrees. The distinct sites, in fractional coordinates, are Rb at (0.000, 0.000, 0.000), Al at (0.250, 0.250, 0.250) and Cl at (0.000, 0.000, 0.500).



4.
First-principles (PBE-GGA) data for Sn6Pd12Au after structural relaxation, as listed in Alexandria.

The value obtained for the density of states at the Fermi level is 0.356 states/eV per atom. The total DFT energy (no corrections) comes out at -0.378 Ry/atom. Its crystal system is trigonal. As for the energy of formation from the pure elements: -0.43 eV/atom.

The space group is R-3 (No. 148, hexagonal axes) and the conventional cell measures 12.0711, 12.0711 and 8.1890 Å, with angles of 90.00, 90.00 and 120.00 degrees. The distinct sites, in fractional coordinates, are Sn at (0.0430, 0.8388, 0.2428), Pd at (0.0278, 0.7885, 0.5705), Pd at (0.0626, 0.8238, 0.9217) and Au at (0.0000, 0.0000, 0.5000).



5.
First-principles (PBE-GGA) data for Pu3Tl2CdO12 after structural relaxation, as listed in Alexandria.

The energy relative to the elements, uncorrected comes out at -1.958 eV per atom. The value obtained for the density of states at the Fermi level is 0.217 states/eV per atom. The total DFT energy (no corrections) comes out at -0.586 Ry/atom. Its crystal system is trigonal.

The space group is R-3m (No. 166, hexagonal axes) and the conventional cell measures 7.9918, 7.9918 and 18.4097 Å, with angles of 90.00, 90.00 and 120.00 degrees. The distinct sites, in fractional coordinates, are Pu at (0.0000, 0.5000, 0.0000), Tl at (0.0000, 0.0000, 0.1598), Cd at (0.0000, 0.0000, 0.5000), O at (0.0490, 0.5245, 0.1014) and O at (0.0849, 0.5425, 0.3495).



6.
First-principles (PBE-GGA) data for HfN after structural relaxation, as listed in Alexandria.

The energy relative to the elements, uncorrected comes out at -1.229 eV per atom. The value obtained for the density of states at the Fermi level is 0.432 states/eV per atom. The total DFT energy (no corrections) comes out at -0.762 Ry/atom. Its crystal system is monoclinic.

The space group is P2_1/m (No. 11) and the conventional cell measures 4.051, 3.779 and 5.196 Å, with angles of 90.00, 112.81 and 90.00 degrees. The distinct sites, in fractional coordinates, are Hf at (0.168, 0.250, 0.336) and N at (0.265, 0.750, 0.530).



Among the records above, which one has the lowest total DFT energy (no corrections)?
HfN



Look up the total DFT energy (no corrections) of the fourth one.
-0.378 Ry/atom



Look up the total DFT energy (no corrections) of the second one.
-0.362 Ry/atom